Entry 1:
The following is a DFT calculation (GGA-PBE) of a relaxed AcAgAs2 crystal.

Output
Symmetry = P4/mmm (123)
E = -4.35 eV/atom
Total moment = 0.0 μB per formula unit

Structure (CIF):
```
data_AcAgAs2
_chemical_formula_sum 'Ac1 Ag1 As2'
_symmetry_space_group_name_H-M 'P 1'
_symmetry_Int_Tables_number 1
_cell_length_a 3.9064
_cell_length_b 3.9064
_cell_length_c 6.4383
_cell_angle_alpha 90.00
_cell_angle_beta 90.00
_cell_angle_gamma 90.00
loop_
_symmetry_equiv_pos_as_xyz
'x,y,z'
loop_
_atom_site_label
_atom_site_fract_x
_atom_site_fract_y
_atom_site_fract_z
As1 0.0000 0.0000 0.7931
As2 0.0000 0.0000 0.2069
Ag1 0.5000 0.5000 0.0000
Ac1 0.5000 0.5000 0.5000
```

Entry 2:
The following is a DFT calculation (GGA-PBE) of a relaxed LaPmNd2Th crystal.

Output
Symmetry = P2/c (13)
E = -5.09 eV/atom
Total moment = 0.0 μB per formula unit

Structure (CIF):
```
data_LaPmNd2Th
_chemical_formula_sum 'La2 Pm2 Nd4 Th2'
_symmetry_space_group_name_H-M 'P 1'
_symmetry_Int_Tables_number 1
_cell_length_a 8.5167
_cell_length_b 6.4892
_cell_length_c 6.6758
_cell_angle_alpha 103.60
_cell_angle_beta 90.00
_cell_angle_gamma 90.00
loop_
_symmetry_equiv_pos_as_xyz
'x,y,z'
loop_
_atom_site_label
_atom_site_fract_x
_atom_site_fract_y
_atom_site_fract_z
Nd1 0.6708 0.2826 0.8369
Nd2 0.3292 0.2826 0.3369
Nd3 0.6708 0.7174 0.6631
Nd4 0.3292 0.7174 0.1631
Th1 0.0000 0.0000 0.0000
Th2 0.0000 0.0000 0.5000
Pm1 0.6606 0.0000 0.2500
Pm2 0.3394 0.0000 0.7500
La1 0.9056 0.5000 0.2500
La2 0.0944 0.5000 0.7500
```

Entry 3:
The following is a DFT calculation (GGA-PBE) of a relaxed GaAgSn crystal.

Output
Symmetry = P1 (1)
E = -3.26 eV/atom
Total moment = 0.0 μB per formula unit

Structure (CIF):
```
data_GaAgSn
_chemical_formula_sum 'Ga2 Ag2 Sn2'
_symmetry_space_group_name_H-M 'P 1'
_symmetry_Int_Tables_number 1
_cell_length_a 3.2653
_cell_length_b 10.2410
_cell_length_c 6.8770
_cell_angle_alpha 139.95
_cell_angle_beta 103.37
_cell_angle_gamma 61.75
loop_
_symmetry_equiv_pos_as_xyz
'x,y,z'
loop_
_atom_site_label
_atom_site_fract_x
_atom_site_fract_y
_atom_site_fract_z
Ga1 0.8666 0.8743 0.7307
Ga2 0.2680 0.1131 0.2462
Sn1 0.2072 0.8489 0.3208
Sn2 0.3318 0.3708 0.1486
Ag1 0.7658 0.6124 0.7363
Ag2 0.6704 0.3478 0.7527
```

Entry 4:
The following is a DFT calculation (GGA-PBE) of a relaxed Er2Pa2Se7 crystal.

Output
Symmetry = Imm2 (44)
Uncorrected formation energy = -1658 kJ/mol of formula units
Total moment = 1.7 μB per formula unit

Structure (CIF):
```
data_Er2Pa2Se7
_chemical_formula_sum 'Er2 Pa2 Se7'
_symmetry_space_group_name_H-M 'P 1'
_symmetry_Int_Tables_number 1
_cell_length_a 4.0151
_cell_length_b 8.8471
_cell_length_c 8.8471
_cell_angle_alpha 61.29
_cell_angle_beta 76.88
_cell_angle_gamma 76.88
loop_
_symmetry_equiv_pos_as_xyz
'x,y,z'
loop_
_atom_site_label
_atom_site_fract_x
_atom_site_fract_y
_atom_site_fract_z
Se1 0.3901 0.7126 0.5072
Se2 0.1819 0.7084 0.9278
Se3 0.5000 0.0098 0.9902
Se4 0.8181 0.0722 0.2916
Se5 0.8599 0.4229 0.8574
Se6 0.6099 0.4928 0.2874
Se7 0.1401 0.1426 0.5771
Er1 0.5000 0.3223 0.6777
Er2 0.0000 0.7836 0.2164
Pa1 0.7395 0.8538 0.6672
Pa2 0.2605 0.3328 0.1462
```

Entry 5:
The following is a DFT calculation (GGA-PBE) of a relaxed HfAs2Pd7 crystal.

Output
Symmetry = I4/mmm (139)
E = -6.13 eV/atom
Total moment = 0.0 μB per formula unit

Structure (CIF):
```
data_HfAs2Pd7
_chemical_formula_sum 'Hf1 As2 Pd7'
_symmetry_space_group_name_H-M 'P 1'
_symmetry_Int_Tables_number 1
_cell_length_a 4.1011
_cell_length_b 4.1011
_cell_length_c 10.4205
_cell_angle_alpha 101.35
_cell_angle_beta 101.35
_cell_angle_gamma 90.00
loop_
_symmetry_equiv_pos_as_xyz
'x,y,z'
loop_
_atom_site_label
_atom_site_fract_x
_atom_site_fract_y
_atom_site_fract_z
Pd1 0.5000 0.5000 0.0000
Pd2 0.7500 0.2500 0.5000
Pd3 0.4022 0.9022 0.8045
Pd4 0.9022 0.4022 0.8045
Pd5 0.0978 0.5978 0.1955
Pd6 0.5978 0.0978 0.1955
Pd7 0.2500 0.7500 0.5000
Hf1 0.0000 0.0000 0.0000
As1 0.6744 0.6744 0.3488
As2 0.3256 0.3256 0.6512
```

Entry 6:
The following is a DFT calculation (GGA-PBE) of a relaxed HfV3Re crystal.

Output
Symmetry = Cmcm (63)
E = -9.87 eV/atom
Total moment = 0.0 μB per formula unit

Structure (CIF):
```
data_HfV3Re
_chemical_formula_sum 'Hf2 V6 Re2'
_symmetry_space_group_name_H-M 'P 1'
_symmetry_Int_Tables_number 1
_cell_length_a 5.0744
_cell_length_b 5.3769
_cell_length_c 6.5432
_cell_angle_alpha 114.26
_cell_angle_beta 90.00
_cell_angle_gamma 90.00
loop_
_symmetry_equiv_pos_as_xyz
'x,y,z'
loop_
_atom_site_label
_atom_site_fract_x
_atom_site_fract_y
_atom_site_fract_z
V1 0.2500 0.9055 0.3124
V2 0.7500 0.1860 0.3721
V3 0.2500 0.4069 0.3124
V4 0.7500 0.5931 0.6876
V5 0.2500 0.8140 0.6279
V6 0.7500 0.0945 0.6876
Re1 0.0000 0.0000 0.0000
Re2 0.5000 0.0000 0.0000
Hf1 0.2500 0.4157 0.8313
Hf2 0.7500 0.5843 0.1687
```

Please write out number 5 again, unchanged.
The following is a DFT calculation (GGA-PBE) of a relaxed HfAs2Pd7 crystal.

Output
Symmetry = I4/mmm (139)
E = -6.13 eV/atom
Total moment = 0.0 μB per formula unit

Structure (CIF):
```
data_HfAs2Pd7
_chemical_formula_sum 'Hf1 As2 Pd7'
_symmetry_space_group_name_H-M 'P 1'
_symmetry_Int_Tables_number 1
_cell_length_a 4.1011
_cell_length_b 4.1011
_cell_length_c 10.4205
_cell_angle_alpha 101.35
_cell_angle_beta 101.35
_cell_angle_gamma 90.00
loop_
_symmetry_equiv_pos_as_xyz
'x,y,z'
loop_
_atom_site_label
_atom_site_fract_x
_atom_site_fract_y
_atom_site_fract_z
Pd1 0.5000 0.5000 0.0000
Pd2 0.7500 0.2500 0.5000
Pd3 0.4022 0.9022 0.8045
Pd4 0.9022 0.4022 0.8045
Pd5 0.0978 0.5978 0.1955
Pd6 0.5978 0.0978 0.1955
Pd7 0.2500 0.7500 0.5000
Hf1 0.0000 0.0000 0.0000
As1 0.6744 0.6744 0.3488
As2 0.3256 0.3256 0.6512
```